A relaxed structure of Ti4Ga5Rh. Source: the Alexandria database, functional PBE.

a b c (Å): 5.3894 6.2076 6.2076
angles (deg): 79.14 64.27 64.27
With the nearest neighbours (Å) after each atom.
Positions (direct):
Ti 0.3762 0.3708 0.7657  6 Ga 2.61-2.78, 1 Rh 2.71
Ti 0.7470 0.7657 0.6292  6 Ga 2.61-2.78, 1 Rh 2.71
Ti 0.1419 0.2343 0.3708  6 Ga 2.61-2.78, 1 Rh 2.71
Ti 0.5127 0.6292 0.2343  6 Ga 2.61-2.78, 1 Rh 2.71
Ga 0.8600 0.3490 0.8380  1 Ga 2.58, 5 Ti 2.61-2.78, 1 Rh 2.62
Ga 0.2090 0.8380 0.6510  1 Ga 2.58, 5 Ti 2.61-2.78, 1 Rh 2.62
Ga 0.6980 0.1620 0.3490  1 Ga 2.58, 5 Ti 2.61-2.78, 1 Rh 2.62
Ga 0.0469 0.6510 0.1620  1 Ga 2.58, 5 Ti 2.61-2.78, 1 Rh 2.62
Ga 0.6884 0.0000 0.0000  1 Rh 2.47, 4 Ga 2.58
Rh 0.2302 0.0000 0.0000  5 Ga 2.47-2.62, 4 Ti 2.71

Output
Electronic total energy: -5.660 eV per atom
DOS at the Fermi energy: 0.96 states/eV/atom
Total moment: 0.0 μB per cell
Formation energy: -0.25 eV/atom

A relaxed structure of ZrNbRh2. Source: the Alexandria database, functional PBE.

a b c (Å): 2.9978 2.9978 7.5424
angles (deg): 90.00 90.00 90.00
With the nearest neighbours (Å) after each atom.
Positions (direct):
Nb 0.5000 0.5000 0.0000  8 Rh 2.78, 4 Nb 3.00
Rh 0.0000 0.0000 0.7619  4 Nb 2.78, 4 Zr 2.90, 4 Rh 3.00
Rh 0.0000 0.0000 0.2381  4 Nb 2.78, 4 Zr 2.90, 4 Rh 3.00
Zr 0.5000 0.5000 0.5000  8 Rh 2.90, 4 Zr 3.00

Output
Electronic total energy: -8.851 eV per atom
DOS at the Fermi energy: 1.20 states/eV/atom
Total moment: 0.0 μB per cell
Formation energy: -0.52 eV/atom